TbCoAsO PBE with a Hubbard U optimized geometry; SG = Pmc2_1 (26); crystal system = orthorhombic; E_tot = -0.4563 Ry per atom; volume = 19.44 A^3/atom
1.0
-1.008 3.884 1.671
-1.675 -2.677 5.212
5.479 0.544 2.040
Co Tb O As
2 2 2 2
Direct
0.500 0.617 0.548 Co
0.500 0.383 0.048 Co
0.000 0.764 0.908 Tb
0.000 0.236 0.408 Tb
0.500 0.329 0.390 O
0.500 0.671 0.890 O
0.000 0.761 0.408 As
0.000 0.239 0.908 As